{
  "formula": "HfF4",
  "functional": "GGA-PBE",
  "state": "optimized geometry",
  "e_tot_ev_per_cell": -71.51,
  "lattice_angstrom": [[4.7338, 0.0000, 0.0000], [0.0000, 4.8999, 0.0000], [-1.3325, 0.0000, 4.6622]],
  "species": ["Hf", "Hf", "F", "F", "F", "F", "F", "F", "F", "F"],
  "fractional_positions": [[0.0000, 0.2487, 0.2500], [0.0000, 0.7513, 0.7500], [0.2366, 0.4312, 0.6271], [0.2366, 0.5688, 0.1271], [0.2394, 0.0710, 0.9998], [0.2394, 0.9290, 0.4998], [0.7606, 0.0710, 0.5002], [0.7606, 0.9290, 0.0002], [0.7634, 0.4312, 0.8729], [0.7634, 0.5688, 0.3729]]
}